Computed, not measured: a relaxed Li2TlHg3 crystal at the PBE level of DFT.

Structure (POSCAR):
```
Li2TlHg3
1.0
3.391 0.000 0.000
0.000 3.391 0.000
0.000 0.000 11.379
Li Tl Hg
2 1 3
Direct
0.500 0.500 0.857
0.500 0.500 0.143
0.500 0.500 0.500
0.000 0.000 0.000
0.000 0.000 0.713
0.000 0.000 0.287
```

Output
* space group: No. 123
* raw total energy: -1.428 eV per atom
* E_form: -0.24 eV/atom
* total moment: 0.000 Bohr magnetons per cell
* mass density: 10.4 Mg/m³

=====

Computed, not measured: a relaxed La2MoRh crystal at the PBE level of DFT.

Structure (POSCAR):
```
La2MoRh
1.0
-2.183 2.069 1.197
-1.731 -0.246 -2.725
-4.744 -7.119 3.656
La Mo Rh
2 1 1
Direct
0.000 0.000 0.937
0.500 0.500 0.311
0.000 0.000 0.556
0.500 0.500 0.696
```

Output
* space group: No. 99
* raw total energy: -6.924 eV per atom
* E_form: 0.09 eV/atom
* total moment: 0.000 Bohr magnetons per cell
* mass density: 8.1 Mg/m³
* polymorph energy (0 for the lowest one): 0.1265 eV per atom

=====

Computed, not measured: a relaxed NaZn2Re crystal at the PBE level of DFT.

Structure (POSCAR):
```
NaZn2Re
1.0
-2.955 2.904 -0.983
-3.012 -2.495 1.683
-1.805 4.047 8.158
Re Zn Na
2 4 2
Direct
0.000 0.000 0.000
0.750 0.250 0.500
0.698 0.125 0.250
0.052 0.625 0.250
0.375 0.302 0.750
0.875 0.948 0.750
0.500 0.500 0.000
0.250 0.750 0.500
```

Output
* space group: No. 122
* raw total energy: -3.000 eV per atom
* E_form: 1.08 eV/atom
* total moment: 0.998 Bohr magnetons per cell
* mass density: 7.1 Mg/m³
* polymorph energy (0 for the lowest one): 0.4382 eV per atom